[1]
The following is a DFT calculation (PBE) of crystalline Ce2DyMnN5 at its relaxed geometry.

a = 6.5165 Å, b = 6.5165 Å, c = 5.6338 Å
α = 90.00°, β = 90.00°, γ = 90.00°
Space group P4/mbm (No. 127)
Unique sites:
Ce1 0.1680 0.3320 0.0000
Dy1 0.0000 0.0000 0.5000
Mn1 0.0000 0.5000 0.5000
N1 0.0000 0.0000 0.0000
N2 0.1450 0.6450 0.2743

Properties
N(E_F) = 0.5703 states/eV per atom
E_tot = -8.3881 eV/atom

---

[2]
The following is a DFT calculation (PBE) of crystalline NaCaAcI6 at its relaxed geometry.

a = 7.6474 Å, b = 7.6474 Å, c = 14.4045 Å
α = 90.00°, β = 90.00°, γ = 90.00°
Space group P4_2nm (No. 102)
Unique sites:
Na1 0.0000 0.0000 0.0000
Ca1 0.0000 0.0000 0.6664
Ac1 0.0000 0.0000 0.3320
I1 0.1957 0.1957 0.8296
I2 0.1965 0.1965 0.5051
I3 0.2051 0.2051 0.1650

Properties
N(E_F) = 0.0000 states/eV per atom
E_tot = -3.3356 eV/atom

---

[3]
The following is a DFT calculation (PBE) of crystalline MgW2S at its relaxed geometry.

a = 3.7433 Å, b = 3.7433 Å, c = 19.4496 Å
α = 90.00°, β = 90.00°, γ = 90.00°
Space group I-42d (No. 122)
Unique sites:
Mg1 0.0000 0.0000 0.0000
W1 0.2447 0.7500 0.6250
S1 0.0000 0.0000 0.5000

Properties
Distance to the lowest polymorph of the same formula = 0.000 eV per atom
N(E_F) = 0.6533 states/eV per atom
E_tot = -7.3589 eV/atom

---

[4]
The following is a DFT calculation (PBE) of crystalline Ac2DyV at its relaxed geometry.

a = 3.6769 Å, b = 3.6769 Å, c = 36.4253 Å
α = 90.00°, β = 90.00°, γ = 120.00°
Space group R-3m (No. 166, hexagonal axes)
Unique sites:
Ac1 0.0000 0.0000 0.0829
Dy1 0.0000 0.0000 0.5000
V1 0.0000 0.0000 0.0000

Properties
DFT formation energy = 0.755 eV per atom
N(E_F) = 1.3739 states/eV per atom
E_tot = -4.7294 eV/atom

---

[5]
The following is a DFT calculation (PBE) of crystalline MgCuTe2 at its relaxed geometry.

a = 7.1663 Å, b = 7.1663 Å, c = 7.1663 Å
α = 90.00°, β = 90.00°, γ = 90.00°
Space group Fm-3m (No. 225)
Unique sites:
Mg1 0.0000 0.0000 0.0000
Cu1 0.0000 0.0000 0.5000
Te1 0.2500 0.2500 0.2500

Properties
Distance to the lowest polymorph of the same formula = 0.421 eV per atom
N(E_F) = 0.7131 states/eV per atom
E_tot = -2.9190 eV/atom

---

[6]
The following is a DFT calculation (PBE) of crystalline SiIBr3 at its relaxed geometry.

a = 5.7907 Å, b = 5.7907 Å, c = 5.7907 Å
α = 90.00°, β = 90.00°, γ = 90.00°
Space group Pm-3m (No. 221)
Unique sites:
Si1 0.0000 0.0000 0.0000
I1 0.5000 0.5000 0.5000
Br1 0.0000 0.5000 0.5000

Properties
Distance to the lowest polymorph of the same formula = 1.441 eV per atom
N(E_F) = 1.2226 states/eV per atom
E_tot = -1.6607 eV/atom

---

[7]
The following is a DFT calculation (PBE) of crystalline HfU3In3Se8 at its relaxed geometry.

a = 8.0199 Å, b = 8.0199 Å, c = 23.8330 Å
α = 90.00°, β = 90.00°, γ = 120.00°
Space group R-3m (No. 166, hexagonal axes)
Unique sites:
Hf1 0.0000 0.0000 0.0000
U1 0.0000 0.5000 0.0000
In1 0.0000 0.5000 0.5000
Se1 0.0000 0.0000 0.2613
Se2 0.0181 0.5090 0.7349

Properties
N(E_F) = 0.8791 states/eV per atom
E_tot = -6.2381 eV/atom

---

[8]
The following is a DFT calculation (PBE) of crystalline Cs2InPt2 at its relaxed geometry.

a = 4.7551 Å, b = 4.7551 Å, c = 33.4398 Å
α = 90.00°, β = 90.00°, γ = 120.00°
Space group R-3m (No. 166, hexagonal axes)
Unique sites:
Cs1 0.0000 0.0000 0.0771
In1 0.0000 0.0000 0.5000
Pt1 0.0000 0.0000 0.1748

Properties
DFT formation energy = -0.290 eV per atom
Distance to the lowest polymorph of the same formula = 0.000 eV per atom
N(E_F) = 0.6721 states/eV per atom
E_tot = -3.5954 eV/atom

---

[9]
The following is a DFT calculation (PBE) of crystalline Na2PuBr6 at its relaxed geometry.

a = 6.9492 Å, b = 6.9492 Å, c = 13.0100 Å
α = 90.00°, β = 90.00°, γ = 90.00°
Space group P4_2/mnm (No. 136)
Unique sites:
Na1 0.0000 0.0000 0.1661
Pu1 0.0000 0.0000 0.5000
Br1 0.1932 0.1932 0.3447
Br2 0.2172 0.2172 0.0000

Properties
Distance to the lowest polymorph of the same formula = 0.015 eV per atom
N(E_F) = 0.7823 states/eV per atom
E_tot = -4.4053 eV/atom

---

[10]
The following is a DFT calculation (PBE) of crystalline NdP2 at its relaxed geometry.

a = 4.0195 Å, b = 6.5794 Å, c = 10.1707 Å
α = 90.00°, β = 105.59°, γ = 90.00°
Space group P2_1/c (No. 14)
Unique sites:
Nd1 0.0806 0.1835 0.3583
P1 0.3015 0.6213 0.4541
P2 0.4642 0.1615 0.6631

Properties
DFT formation energy = -1.032 eV per atom
N(E_F) = 0.0679 states/eV per atom
E_tot = -6.2279 eV/atom

---

[11]
The following is a DFT calculation (PBE) of crystalline CsSc3Be at its relaxed geometry.

a = 5.2095 Å, b = 5.2095 Å, c = 5.2095 Å
α = 90.00°, β = 90.00°, γ = 90.00°
Space group Pm-3m (No. 221)
Unique sites:
Cs1 0.0000 0.0000 0.0000
Sc1 0.0000 0.0000 0.5000
Be1 0.5000 0.5000 0.5000

Properties
DFT formation energy = 1.824 eV per atom
Distance to the lowest polymorph of the same formula = 1.208 eV per atom
N(E_F) = 1.3915 states/eV per atom
E_tot = -2.8905 eV/atom

---

[12]
The following is a DFT calculation (PBE) of crystalline RbFe2PdBr8 at its relaxed geometry.

a = 10.8969 Å, b = 7.6683 Å, c = 10.0049 Å
α = 90.00°, β = 98.24°, γ = 90.00°
Space group C2/m (No. 12)
Unique sites:
Rb1 0.0000 0.0000 0.0000
Fe1 0.1151 0.5000 0.2872
Pd1 0.0000 0.0000 0.5000
Br1 0.0142 0.2524 0.6997
Br2 0.1890 0.5000 0.0776
Br3 0.2359 0.0000 0.5136

Properties
N(E_F) = 0.4359 states/eV per atom
E_tot = -3.6766 eV/atom